(1)
DFT (meta-GGA SCAN) results for a PBEsol-optimized structure of CrPdSe2.

Cell lengths 3.3566, 3.3566, 23.1065 Å; angles 90.00, 90.00, 120.00 degrees
Space group R-3m (No. 166, hexagonal axes)
Symmetry-distinct sites (fractional):
Cr (0.0000, 0.0000, 0.0000)
Pd (0.0000, 0.0000, 0.5000)
Se (0.0000, 0.0000, 0.3971)

Properties
The value obtained for the total magnetic moment is 2.2 μB per formula unit. As for the total energy: -23.240 eV per atom. Its raw formation energy is -0.411 eV/atom.

---

(2)
DFT (meta-GGA SCAN) results for a PBEsol-optimized structure of SeBr3.

Cell lengths 3.231, 3.231, 9.289 Å; angles 90.00, 90.00, 90.00 degrees
Space group P4/mmm (No. 123)
Symmetry-distinct sites (fractional):
Se (0.000, 0.000, 0.000)
Br (0.000, 0.000, 0.500)
Br (0.500, 0.500, 0.193)

Properties
The value obtained for the total magnetic moment is 0.0 μB per formula unit. As for the total energy: -18.992 eV per atom. Its raw formation energy is 0.622 eV/atom.

---

(3)
DFT (meta-GGA SCAN) results for a PBEsol-optimized structure of Li2ZnAu.

Cell lengths 3.909, 3.909, 3.730 Å; angles 90.00, 90.00, 90.00 degrees
Space group P4/mmm (No. 123)
Symmetry-distinct sites (fractional):
Li (0.000, 0.500, 0.000)
Zn (0.000, 0.000, 0.500)
Au (0.500, 0.500, 0.500)

Properties
The value obtained for the total magnetic moment is 0.0 μB per formula unit. As for the total energy: -22.328 eV per atom. For the formation energy, the calculation gives -0.465 eV/atom.

---

(4)
DFT (meta-GGA SCAN) results for a PBEsol-optimized structure of Ni6SbTe2.

Cell lengths 3.757, 3.757, 18.816 Å; angles 90.00, 90.00, 90.00 degrees
Space group I4mm (No. 107)
Symmetry-distinct sites (fractional):
Ni (0.000, 0.000, 0.000)
Ni (0.000, 0.000, 0.309)
Ni (0.000, 0.500, 0.093)
Ni (0.000, 0.500, 0.405)
Sb (0.000, 0.000, 0.499)
Te (0.000, 0.000, 0.178)
Te (0.000, 0.000, 0.813)

Properties
The value obtained for the total magnetic moment is 0.0 μB per formula unit. As for the total energy: -23.349 eV per atom. Its raw formation energy is -0.149 eV/atom.

---

(5)
DFT (meta-GGA SCAN) results for a PBEsol-optimized structure of Na2HF4.

Cell lengths 4.678, 3.535, 5.963 Å; angles 90.00, 110.27, 90.00 degrees
Space group P2/m (No. 10)
Symmetry-distinct sites (fractional):
Na (0.000, 0.000, 0.000)
Na (0.500, 0.500, 0.500)
H (0.000, 0.000, 0.500)
F (0.171, 0.000, 0.403)
F (0.347, 0.500, 0.079)

Properties
The value obtained for the total magnetic moment is 1.0 μB per formula unit. As for the total energy: -5.862 eV per atom.

---

(6)
DFT (meta-GGA SCAN) results for a PBEsol-optimized structure of ZnFeAu2.

Cell lengths 3.897, 3.897, 7.833 Å; angles 90.00, 90.00, 90.00 degrees
Space group I-4m2 (No. 119)
Symmetry-distinct sites (fractional):
Zn (0.000, 0.000, 0.000)
Fe (0.000, 0.500, 0.750)
Au (0.000, 0.000, 0.500)
Au (0.000, 0.500, 0.250)

Properties
The value obtained for the total magnetic moment is 3.2 μB per formula unit. As for the total energy: -42.561 eV per atom. For the formation energy, the calculation gives -0.071 eV/atom.